The following is a PBE-GGA calculation of a geometry-optimized AcPrScAl structure, from Alexandria via LeMat-Bulk.

abc: 5.4656 5.4656 5.4656
angles: 60.00 60.00 60.00
Fractional coordinates of all 4 atoms:
Ac: 0.0000 0.0000 0.0000
Pr: 0.7500 0.7500 0.7500
Sc: 0.2500 0.2500 0.2500
Al: 0.5000 0.5000 0.5000

Summary:
- magnetic moment (μB/cell) = 0.00
- symmetry = F-43m (216)
- V (Å³ per cell) = 115.4
- calculated total energy (eV for the cell shown) = -18.638

The following is a PBE-GGA calculation of a geometry-optimized Rb7Hg2Au structure, from Alexandria via LeMat-Bulk.

abc: 11.3896 11.3896 12.5873
angles: 119.07 119.07 51.62
Fractional coordinates of all 20 atoms:
Rb: 0.1007 0.6251 0.0147
Rb: 0.1093 0.8907 0.7500
Rb: 0.1923 0.4179 0.6417
Rb: 0.2388 0.5869 0.4115
Rb: 0.3749 0.8993 0.4853
Rb: 0.4131 0.7612 0.0885
Rb: 0.4179 0.1923 0.1417
Rb: 0.5821 0.8077 0.8583
Rb: 0.5869 0.2388 0.9115
Rb: 0.6251 0.1007 0.5147
Rb: 0.7612 0.4131 0.5885
Rb: 0.8077 0.5821 0.3583
Rb: 0.8907 0.1093 0.2500
Rb: 0.8993 0.3749 0.9853
Hg: 0.1887 0.1973 0.2883
Hg: 0.1973 0.1887 0.7883
Hg: 0.8027 0.8113 0.2117
Hg: 0.8113 0.8027 0.7117
Au: 0.4934 0.5066 0.7500
Au: 0.5066 0.4934 0.2500

Summary:
- magnetic moment (μB/cell) = 0.00
- symmetry = C2/c (15)
- V (Å³ per cell) = 1077.5
- calculated total energy (eV for the cell shown) = -24.067

The following is a PBE-GGA calculation of a geometry-optimized RbSr2CaGa structure, from Alexandria via LeMat-Bulk.

abc: 6.4183 6.4183 6.0737
angles: 90.00 90.00 90.00
Fractional coordinates of all 5 atoms:
Rb: 0.0000 0.0000 0.0000
Sr: 0.0000 0.5000 0.5000
Sr: 0.5000 0.0000 0.5000
Ca: 0.5000 0.5000 0.0000
Ga: 0.5000 0.5000 0.5000

Summary:
- magnetic moment (μB/cell) = 0.00
- symmetry = P4/mmm (123)
- V (Å³ per cell) = 250.2
- calculated total energy (eV for the cell shown) = -9.644

The following is a PBE-GGA calculation of a geometry-optimized Tb3CeDy2S6 structure, from Alexandria via LeMat-Bulk.

abc: 8.7945 8.7945 7.8996
angles: 102.88 102.88 25.79
Fractional coordinates of all 12 atoms:
Tb: 0.0000 0.0000 0.0000
Tb: 0.3352 0.3352 0.6654
Tb: 0.6648 0.6648 0.3346
Ce: 0.0000 0.0000 0.5000
Dy: 0.3348 0.3348 0.1705
Dy: 0.6652 0.6652 0.8295
S: 0.1681 0.1681 0.0819
S: 0.1699 0.1699 0.5862
S: 0.4992 0.4992 0.2429
S: 0.5008 0.5008 0.7571
S: 0.8301 0.8301 0.4138
S: 0.8319 0.8319 0.9181

Summary:
- magnetic moment (μB/cell) = 0.83
- symmetry = C2/m (12)
- V (Å³ per cell) = 258.8
- formation energy (no corrections) (eV per formula unit) = -24.16
- calculated total energy (eV for the cell shown) = -77.949

The following is a PBE-GGA calculation of a geometry-optimized Mg4ZnCo structure, from Alexandria via LeMat-Bulk.

abc: 7.1021 7.1021 7.1021
angles: 126.35 126.35 79.32
Fractional coordinates of all 12 atoms:
Mg: 0.0360 0.5360 0.8482
Mg: 0.1878 0.0360 0.5000
Mg: 0.3122 0.8122 0.8482
Mg: 0.4640 0.3122 0.5000
Mg: 0.5360 0.6878 0.5000
Mg: 0.6878 0.1878 0.1518
Mg: 0.8122 0.9640 0.5000
Mg: 0.9640 0.4640 0.1518
Zn: 0.0000 0.0000 0.0000
Zn: 0.5000 0.5000 0.0000
Co: 0.2500 0.2500 0.0000
Co: 0.7500 0.7500 0.0000

Summary:
- energy relative to the lowest polymorph listed for this composition (meV per atom) = 0
- magnetic moment (μB/cell) = 0.00
- symmetry = I4/mcm (140)
- V (Å³ per cell) = 224.7
- calculated total energy (eV for the cell shown) = -29.380

The following is a PBE-GGA calculation of a geometry-optimized LiZnNiPd structure, from Alexandria via LeMat-Bulk.

abc: 4.1725 4.1725 4.1725
angles: 60.00 60.00 60.00
Fractional coordinates of all 4 atoms:
Li: 0.0000 0.0000 0.0000
Zn: 0.5000 0.5000 0.5000
Ni: 0.2500 0.2500 0.2500
Pd: 0.7500 0.7500 0.7500

Summary:
- magnetic moment (μB/cell) = 0.00
- symmetry = F-43m (216)
- V (Å³ per cell) = 51.4
- calculated total energy (eV for the cell shown) = -15.460

The following is a PBE-GGA calculation of a geometry-optimized Hf8GaRh2 structure, from Alexandria via LeMat-Bulk.

abc: 7.4353 7.4353 5.1562
angles: 101.89 101.89 117.29
Fractional coordinates of all 11 atoms:
Hf: 0.0990 0.3309 0.5610
Hf: 0.2330 0.7670 0.0000
Hf: 0.3309 0.0990 0.5610
Hf: 0.3948 0.3948 0.1792
Hf: 0.6052 0.6052 0.8208
Hf: 0.6691 0.9010 0.4390
Hf: 0.7670 0.2330 0.0000
Hf: 0.9010 0.6691 0.4390
Ga: 0.0000 0.0000 0.0000
Rh: 0.2903 0.7097 0.5000
Rh: 0.7097 0.2903 0.5000

Summary:
- magnetic moment (μB/cell) = 0.00
- symmetry = C2/m (12)
- V (Å³ per cell) = 232.6
- calculated total energy (eV for the cell shown) = -99.805

The following is a PBE-GGA calculation of a geometry-optimized TiBiN structure, from Alexandria via LeMat-Bulk.

abc: 7.3839 6.9902 6.6994
angles: 65.24 59.28 55.48
Fractional coordinates of all 12 atoms:
Ti: 0.0572 0.6928 0.6928
Ti: 0.3072 0.9428 0.9428
Ti: 0.6928 0.0572 0.0572
Ti: 0.9428 0.3072 0.3072
Bi: 0.2348 0.2348 0.5152
Bi: 0.4848 0.4848 0.7652
Bi: 0.5152 0.5152 0.2348
Bi: 0.7652 0.7652 0.4848
N: 0.0000 0.0000 0.0000
N: 0.0000 0.0000 0.5000
N: 0.0000 0.5000 0.0000
N: 0.5000 0.0000 0.0000

Summary:
- magnetic moment (μB/cell) = 0.00
- symmetry = Fddd (70)
- V (Å³ per cell) = 240.8
- formation energy (no corrections) (eV per formula unit) = -0.29
- calculated total energy (eV for the cell shown) = -81.564

The following is a PBE-GGA calculation of a geometry-optimized CsMnAg2Br6 structure, from Alexandria via LeMat-Bulk.

abc: 9.9046 9.9046 8.3486
angles: 106.05 106.05 87.00
Fractional coordinates of all 20 atoms:
Cs: 0.1649 0.8351 0.7500
Cs: 0.8351 0.1649 0.2500
Mn: 0.1869 0.8131 0.2500
Mn: 0.8131 0.1869 0.7500
Ag: 0.3722 0.4460 0.8597
Ag: 0.4460 0.3722 0.3597
Ag: 0.5540 0.6278 0.6403
Ag: 0.6278 0.5540 0.1403
Br: 0.0425 0.1942 0.7151
Br: 0.1815 0.5878 0.0506
Br: 0.1942 0.0425 0.2151
Br: 0.2666 0.4661 0.5425
Br: 0.4122 0.8185 0.4494
Br: 0.4661 0.2666 0.0425
Br: 0.5339 0.7334 0.9575
Br: 0.5878 0.1815 0.5506
Br: 0.7334 0.5339 0.4575
Br: 0.8058 0.9575 0.7849
Br: 0.8185 0.4122 0.9494
Br: 0.9575 0.8058 0.2849

Summary:
- magnetic moment (μB/cell) = 7.95
- symmetry = C2/c (15)
- V (Å³ per cell) = 756.2
- formation energy (no corrections) (eV per formula unit) = -7.33
- calculated total energy (eV for the cell shown) = -66.181

The following is a PBE-GGA calculation of a geometry-optimized Sc2SnB2Ru5 structure, from Alexandria via LeMat-Bulk.

abc: 9.5602 9.5602 3.0793
angles: 90.00 90.00 90.00
Fractional coordinates of all 20 atoms:
Sc: 0.1764 0.3236 0.0000
Sc: 0.3236 0.8236 0.0000
Sc: 0.6764 0.1764 0.0000
Sc: 0.8236 0.6764 0.0000
Sn: 0.0000 0.0000 0.0000
Sn: 0.5000 0.5000 0.0000
B: 0.1229 0.6229 0.0000
B: 0.3771 0.1229 0.0000
B: 0.6229 0.8771 0.0000
B: 0.8771 0.3771 0.0000
Ru: 0.0000 0.5000 0.5000
Ru: 0.0703 0.7771 0.5000
Ru: 0.2229 0.0703 0.5000
Ru: 0.2771 0.5703 0.5000
Ru: 0.4297 0.2771 0.5000
Ru: 0.5000 0.0000 0.5000
Ru: 0.5703 0.7229 0.5000
Ru: 0.7229 0.4297 0.5000
Ru: 0.7771 0.9297 0.5000
Ru: 0.9297 0.2229 0.5000

Summary:
- magnetic moment (μB/cell) = 0.00
- symmetry = P4/mbm (127)
- V (Å³ per cell) = 281.4
- calculated total energy (eV for the cell shown) = -163.508

The following is a PBE-GGA calculation of a geometry-optimized V2Pd3Au2 structure, from Alexandria via LeMat-Bulk.

abc: 4.7760 4.7760 9.3343
angles: 110.62 110.62 33.95
Fractional coordinates of all 7 atoms:
V: 0.2198 0.2198 0.3756
V: 0.7802 0.7802 0.6244
Pd: 0.0000 0.0000 0.5000
Pd: 0.4549 0.4549 0.2379
Pd: 0.5451 0.5451 0.7621
Au: 0.3327 0.3327 0.9087
Au: 0.6673 0.6673 0.0913

Summary:
- magnetic moment (μB/cell) = 0.00
- symmetry = C2/m (12)
- V (Å³ per cell) = 110.6
- calculated total energy (eV for the cell shown) = -41.033

The following is a PBE-GGA calculation of a geometry-optimized LiTl2BiH structure, from Alexandria via LeMat-Bulk.

abc: 5.1271 5.1271 4.4479
angles: 90.00 90.00 90.00
Fractional coordinates of all 5 atoms:
Li: 0.0000 0.0000 0.0000
Tl: 0.0000 0.5000 0.5000
Tl: 0.5000 0.0000 0.5000
Bi: 0.5000 0.5000 0.0000
H: 0.0000 0.0000 0.5000

Summary:
- magnetic moment (μB/cell) = 0.00
- symmetry = P4/mmm (123)
- V (Å³ per cell) = 116.9
- calculated total energy (eV for the cell shown) = -13.850

The following is a PBE-GGA calculation of a geometry-optimized TmZn4Cr structure, from Alexandria via LeMat-Bulk.

abc: 5.1814 5.1814 5.1814
angles: 60.00 60.00 60.00
Fractional coordinates of all 6 atoms:
Tm: 0.0000 0.0000 0.0000
Zn: 0.3757 0.3757 0.3757
Zn: 0.3757 0.3757 0.8730
Zn: 0.3757 0.8730 0.3757
Zn: 0.8730 0.3757 0.3757
Cr: 0.7500 0.7500 0.7500

Summary:
- magnetic moment (μB/cell) = 3.01
- symmetry = F-43m (216)
- V (Å³ per cell) = 98.4
- calculated total energy (eV for the cell shown) = -20.088

The following is a PBE-GGA calculation of a geometry-optimized Ho7Tm12Cd structure, from Alexandria via LeMat-Bulk.

abc: 8.6027 8.6027 8.6027
angles: 89.48 89.48 89.48
Fractional coordinates of all 20 atoms:
Ho: 0.0000 0.0000 0.0000
Ho: 0.1244 0.2614 0.7211
Ho: 0.2614 0.7211 0.1244
Ho: 0.2789 0.8756 0.7386
Ho: 0.7211 0.1244 0.2614
Ho: 0.7386 0.2789 0.8756
Ho: 0.8756 0.7386 0.2789
Tm: 0.0372 0.3783 0.1575
Tm: 0.1575 0.0372 0.3783
Tm: 0.1647 0.6076 0.4943
Tm: 0.3783 0.1575 0.0372
Tm: 0.3924 0.5057 0.8353
Tm: 0.4943 0.1647 0.6076
Tm: 0.5057 0.8353 0.3924
Tm: 0.6076 0.4943 0.1647
Tm: 0.6217 0.8425 0.9628
Tm: 0.8353 0.3924 0.5057
Tm: 0.8425 0.9628 0.6217
Tm: 0.9628 0.6217 0.8425
Cd: 0.5000 0.5000 0.5000

Summary:
- magnetic moment (μB/cell) = 1.50
- symmetry = R-3 (148)
- V (Å³ per cell) = 636.6
- calculated total energy (eV for the cell shown) = -82.612

The following is a PBE-GGA calculation of a geometry-optimized BaNaAlSe3 structure, from Alexandria via LeMat-Bulk.

abc: 6.6864 6.6864 9.3888
angles: 105.38 105.38 74.21
Fractional coordinates of all 12 atoms:
Ba: 0.1878 0.1878 0.1669
Ba: 0.8122 0.8122 0.8331
Na: 0.2124 0.7876 0.5000
Na: 0.7876 0.2124 0.5000
Al: 0.4417 0.4417 0.7460
Al: 0.5583 0.5583 0.2540
Se: 0.1935 0.6845 0.1752
Se: 0.2546 0.2546 0.5350
Se: 0.3155 0.8065 0.8248
Se: 0.6845 0.1935 0.1752
Se: 0.7454 0.7454 0.4650
Se: 0.8065 0.3155 0.8248

Summary:
- magnetic moment (μB/cell) = 0.00
- symmetry = C2/m (12)
- V (Å³ per cell) = 380.9
- formation energy (no corrections) (eV per formula unit) = -7.27
- calculated total energy (eV for the cell shown) = -49.410

The following is a PBE-GGA calculation of a geometry-optimized RbAlSn structure, from Alexandria via LeMat-Bulk.

abc: 5.1631 5.1631 7.9552
angles: 90.00 90.00 120.00
Fractional coordinates of all 6 atoms:
Rb: 0.0000 0.0000 0.0000
Rb: 0.0000 0.0000 0.5000
Al: 0.6667 0.3333 0.1839
Al: 0.6667 0.3333 0.8161
Sn: 0.3333 0.6667 0.2862
Sn: 0.3333 0.6667 0.7138

Summary:
- magnetic moment (μB/cell) = 0.00
- symmetry = P-6m2 (187)
- V (Å³ per cell) = 183.7
- calculated total energy (eV for the cell shown) = -16.922

The following is a PBE-GGA calculation of a geometry-optimized NbBi3P structure, from Alexandria via LeMat-Bulk.

abc: 5.4621 5.4621 5.4621
angles: 90.00 90.00 90.00
Fractional coordinates of all 5 atoms:
Nb: 0.0000 0.0000 0.0000
Bi: 0.0000 0.0000 0.5000
Bi: 0.0000 0.5000 0.0000
Bi: 0.5000 0.0000 0.0000
P: 0.5000 0.5000 0.5000

Summary:
- energy relative to the lowest polymorph listed for this composition (meV per atom) = 0
- magnetic moment (μB/cell) = 1.15
- symmetry = Pm-3m (221)
- V (Å³ per cell) = 163.0
- calculated total energy (eV for the cell shown) = -22.997

The following is a PBE-GGA calculation of a geometry-optimized Pm8Nd2Pb structure, from Alexandria via LeMat-Bulk.

abc: 9.6113 9.6113 8.1392
angles: 104.65 104.65 30.45
Fractional coordinates of all 11 atoms:
Pm: 0.0436 0.0436 0.2279
Pm: 0.1364 0.1364 0.6784
Pm: 0.3212 0.3212 0.5924
Pm: 0.4107 0.4107 0.0594
Pm: 0.5893 0.5893 0.9406
Pm: 0.6788 0.6788 0.4076
Pm: 0.8636 0.8636 0.3216
Pm: 0.9564 0.9564 0.7721
Nd: 0.2230 0.2230 0.1341
Nd: 0.7770 0.7770 0.8659
Pb: 0.5000 0.5000 0.5000

Summary:
- magnetic moment (μB/cell) = 0.00
- symmetry = C2/m (12)
- V (Å³ per cell) = 367.8
- calculated total energy (eV for the cell shown) = -52.108

The following is a PBE-GGA calculation of a geometry-optimized LiEr2InSe4 structure, from Alexandria via LeMat-Bulk.

abc: 7.2140 7.2140 14.5865
angles: 90.00 90.00 146.75
Fractional coordinates of all 16 atoms:
Li: 0.1710 0.8290 0.7500
Li: 0.8290 0.1710 0.2500
Er: 0.3655 0.6345 0.0618
Er: 0.3655 0.6345 0.4382
Er: 0.6345 0.3655 0.5618
Er: 0.6345 0.3655 0.9382
In: 0.1028 0.8972 0.2500
In: 0.8972 0.1028 0.7500
Se: 0.0000 0.0000 0.0000
Se: 0.0000 0.0000 0.5000
Se: 0.2660 0.7340 0.6072
Se: 0.2660 0.7340 0.8928
Se: 0.4304 0.5696 0.2500
Se: 0.5696 0.4304 0.7500
Se: 0.7340 0.2660 0.1072
Se: 0.7340 0.2660 0.3928

Summary:
- magnetic moment (μB/cell) = 0.00
- symmetry = Cmcm (63)
- V (Å³ per cell) = 416.2
- formation energy (no corrections) (eV per formula unit) = -11.63
- calculated total energy (eV for the cell shown) = -78.700

The following is a PBE-GGA calculation of a geometry-optimized YCuPb2 structure, from Alexandria via LeMat-Bulk.

abc: 4.8579 4.8579 5.6648
angles: 107.73 107.73 53.69
Fractional coordinates of all 4 atoms:
Y: 0.0000 0.0000 0.0000
Cu: 0.5000 0.5000 0.5000
Pb: 0.2372 0.2372 0.6960
Pb: 0.7628 0.7628 0.3040

Summary:
- energy relative to the lowest polymorph listed for this composition (meV per atom) = 104
- magnetic moment (μB/cell) = 0.00
- symmetry = C2/m (12)
- V (Å³ per cell) = 101.3
- calculated total energy (eV for the cell shown) = -18.250